(1)
# Dy2Y5Tm2 (GGA-PBE, optimized geometry)
data_Dy2Y5Tm2
_cell_length_a 3.547
_cell_length_b 6.137
_cell_length_c 13.730
_cell_angle_alpha 90.03
_cell_angle_beta 97.31
_cell_angle_gamma 106.74
_space_group_name_H-M_alt 'P -1'
_space_group_IT_number 2
_space_group_name_Hall '-P 1'
loop_
_atom_site_label
_atom_site_fract_x
_atom_site_fract_y
_atom_site_fract_z
_atom_site_occupancy
Dy1 0.166 0.108 0.223 1
Y1 0.166 0.447 0.887 1
Y2 0.166 0.776 0.556 1
Y3 0.500 0.000 0.000 1
Tm1 0.499 0.332 0.666 1
# Energy of formation, meV per atom: 25



(2)
# PaHgPd (GGA-PBE, optimized geometry)
data_PaHgPd
_cell_length_a 6.656
_cell_length_b 6.656
_cell_length_c 6.656
_cell_angle_alpha 90.00
_cell_angle_beta 90.00
_cell_angle_gamma 90.00
_space_group_name_H-M_alt 'F -4 3 m'
_space_group_IT_number 216
_space_group_name_Hall 'F -4 2 3'
loop_
_atom_site_label
_atom_site_fract_x
_atom_site_fract_y
_atom_site_fract_z
_atom_site_occupancy
Pa1 0.000 0.000 0.000 1
Hg1 0.000 0.000 0.500 1
Pd1 0.250 0.250 0.750 1
# Energy of formation, meV per atom: -151



(3)
# TmTh2Ni (GGA-PBE, optimized geometry)
data_TmTh2Ni
_cell_length_a 3.548
_cell_length_b 3.548
_cell_length_c 8.441
_cell_angle_alpha 90.00
_cell_angle_beta 90.00
_cell_angle_gamma 90.00
_space_group_name_H-M_alt 'P 4/m m m'
_space_group_IT_number 123
_space_group_name_Hall '-P 4 2'
loop_
_atom_site_label
_atom_site_fract_x
_atom_site_fract_y
_atom_site_fract_z
_atom_site_occupancy
Tm1 0.000 0.000 0.000 1
Th1 0.500 0.500 0.304 1
Ni1 0.000 0.000 0.500 1
# Energy of formation, meV per atom: -93



(4)
# LaZr2Br (GGA-PBE, optimized geometry)
data_LaZr2Br
_cell_length_a 7.298
_cell_length_b 7.298
_cell_length_c 7.298
_cell_angle_alpha 90.00
_cell_angle_beta 90.00
_cell_angle_gamma 90.00
_space_group_name_H-M_alt 'F m -3 m'
_space_group_IT_number 225
_space_group_name_Hall '-F 4 2 3'
loop_
_atom_site_label
_atom_site_fract_x
_atom_site_fract_y
_atom_site_fract_z
_atom_site_occupancy
La1 0.000 0.000 0.000 1
Zr1 0.250 0.250 0.250 1
Br1 0.000 0.000 0.500 1
# Formation energy without anion corrections, eV/atom: 0.424



(5)
# Ac6Ge2Te3I (GGA-PBE, optimized geometry)
data_Ac6Ge2Te3I
_cell_length_a 20.561
_cell_length_b 4.674
_cell_length_c 9.505
_cell_angle_alpha 90.00
_cell_angle_beta 103.02
_cell_angle_gamma 90.00
_space_group_name_H-M_alt 'C 1 2/m 1'
_space_group_IT_number 12
_space_group_name_Hall '-C 2y'
loop_
_atom_site_label
_atom_site_fract_x
_atom_site_fract_y
_atom_site_fract_z
_atom_site_occupancy
Ac1 0.013 0.000 0.269 1
Ac2 0.173 0.500 0.568 1
Ac3 0.175 0.500 0.113 1
Ge1 0.168 0.000 0.332 1
Te1 0.000 0.500 0.500 1
Te2 0.159 0.000 0.835 1
I1 0.000 0.500 0.000 1
# Formation energy without anion corrections, eV/atom: -1.237



(6)
# AlNiAs (GGA-PBE, optimized geometry)
data_AlNiAs
_cell_length_a 3.0703
_cell_length_b 3.0703
_cell_length_c 5.5496
_cell_angle_alpha 90.00
_cell_angle_beta 90.00
_cell_angle_gamma 120.00
_space_group_name_H-M_alt 'P 3 m 1'
_space_group_IT_number 156
_space_group_name_Hall 'P 3 -2"'
loop_
_atom_site_label
_atom_site_fract_x
_atom_site_fract_y
_atom_site_fract_z
_atom_site_occupancy
Al1 0.0000 0.0000 0.0000 1
Ni1 0.3333 0.6667 0.6902 1
As1 0.6667 0.3333 0.3963 1
# Energy of formation, meV per atom: -150



(7)
# TaSe2S (GGA-PBE, optimized geometry)
data_TaSe2S
_cell_length_a 3.365
_cell_length_b 13.566
_cell_length_c 8.101
_cell_angle_alpha 90.00
_cell_angle_beta 90.00
_cell_angle_gamma 90.00
_space_group_name_H-M_alt 'C m c m'
_space_group_IT_number 63
_space_group_name_Hall '-C 2c 2'
loop_
_atom_site_label
_atom_site_fract_x
_atom_site_fract_y
_atom_site_fract_z
_atom_site_occupancy
Ta1 0.000 0.240 0.250 1
Se1 0.000 0.151 0.569 1
S1 0.000 0.389 0.750 1
# Formation energy without anion corrections, eV/atom: -0.644



(8)
# CeEr5Al6 (GGA-PBE, optimized geometry)
data_CeEr5Al6
_cell_length_a 5.075
_cell_length_b 7.153
_cell_length_c 15.261
_cell_angle_alpha 90.00
_cell_angle_beta 90.00
_cell_angle_gamma 90.00
_space_group_name_H-M_alt 'I m m m'
_space_group_IT_number 71
_space_group_name_Hall '-I 2 2'
loop_
_atom_site_label
_atom_site_fract_x
_atom_site_fract_y
_atom_site_fract_z
_atom_site_occupancy
Ce1 0.000 0.000 0.000 1
Er1 0.000 0.000 0.331 1
Er2 0.000 0.500 0.000 1
Er3 0.000 0.500 0.337 1
Al1 0.000 0.236 0.500 1
Al2 0.000 0.257 0.170 1
# Energy of formation, meV per atom: -372



no.,calculated density (g/cm3),DOS(E_F) (states/eV/f.u.)
1,6.48,13.05
2,12.12,5.49
3,10.81,6.46
4,6.86,9.02
5,7.53,5.06
6,5.89,1.77
7,6.66,0.87
8,6.82,8.54